1.
Entry from the Alexandria database: a relaxed structure of AlHgOs3 (PBE).

abc: 4.483 4.483 4.483
angles: 90.00 90.00 90.00
Atoms (fractional coordinates):
Os 0.000 0.000 0.500
Os 0.500 0.000 0.000
Os 0.000 0.500 0.000
Hg 0.500 0.500 0.500
Al 0.000 0.000 0.000

Computed properties:
**E_form**: 1.691 eV per atom
**Energy above the lowest structure with this stoichiometry**: 0.000 eV per atom
**Symmetry**: Pm-3m, No. 221

2.
Entry from the Alexandria database: a relaxed structure of Al3HgOs (PBE).

abc: 4.808 4.808 4.808
angles: 90.00 90.00 90.00
Atoms (fractional coordinates):
Al 0.000 0.000 0.500
Al 0.500 0.000 0.000
Al 0.000 0.500 0.000
Hg 0.500 0.500 0.500
Os 0.000 0.000 0.000

Computed properties:
**E_form**: 0.014 eV per atom
**Energy above the lowest structure with this stoichiometry**: 0.000 eV per atom
**Symmetry**: Pm-3m, No. 221

3.
Entry from the Alexandria database: a relaxed structure of AlHgOs (PBE).

abc: 4.248 4.248 4.248
angles: 60.00 60.00 60.00
Atoms (fractional coordinates):
Os 0.500 0.500 0.500
Hg 0.000 0.000 0.000
Al 0.750 0.750 0.750

Computed properties:
**E_form**: 0.536 eV per atom
**Energy above the lowest structure with this stoichiometry**: 0.295 eV per atom
**Symmetry**: F-43m, No. 216

4.
Entry from the Alexandria database: a relaxed structure of AlHgOs (PBE).

abc: 4.345 4.345 3.114
angles: 90.00 90.00 120.00
Atoms (fractional coordinates):
Al 0.000 0.000 0.825
Hg 0.667 0.333 0.337
Os 0.333 0.667 0.839

Computed properties:
**E_form**: 0.394 eV per atom
**Energy above the lowest structure with this stoichiometry**: 0.153 eV per atom
**Symmetry**: P3m1, No. 156

5.
Entry from the Alexandria database: a relaxed structure of AlHgOs (PBE).

abc: 5.447 5.447 5.447
angles: 145.92 145.92 48.97
Atoms (fractional coordinates):
Os 0.639 0.639 0.000
Al 0.029 0.029 0.000
Hg 0.332 0.332 0.000

Computed properties:
**E_form**: 0.241 eV per atom
**Energy above the lowest structure with this stoichiometry**: 0.000 eV per atom
**Symmetry**: I4mm, No. 107

6.
Entry from the Alexandria database: a relaxed structure of AlHgOs3 (PBE).

abc: 4.893 4.893 4.893
angles: 90.00 90.00 90.00
Atoms (fractional coordinates):
Al 0.500 0.500 0.500
Os 0.000 0.500 0.000
Os 0.500 0.000 0.000
Os 0.000 0.000 0.500
Hg 0.000 0.000 0.000

Computed properties:
**E_form**: 3.090 eV per atom
**Energy above the lowest structure with this stoichiometry**: 1.399 eV per atom
**Symmetry**: Pm-3m, No. 221

7.
Entry from the Alexandria database: a relaxed structure of AlHgOs4 (PBE).

abc: 5.210 5.210 5.210
angles: 60.00 60.00 60.00
Atoms (fractional coordinates):
Os 0.126 0.625 0.625
Os 0.625 0.625 0.625
Os 0.625 0.625 0.126
Os 0.625 0.126 0.625
Al 0.250 0.250 0.250
Hg 0.000 0.000 0.000

Computed properties:
**E_form**: 0.789 eV per atom
**Symmetry**: F-43m, No. 216

8.
Entry from the Alexandria database: a relaxed structure of AlHgOs (PBE).

abc: 7.274 7.007 2.913
angles: 83.44 73.12 23.44
Atoms (fractional coordinates):
Hg 0.334 0.334 0.666
Os 0.652 0.652 0.348
Al 0.014 0.014 0.986

Computed properties:
**E_form**: 0.454 eV per atom
**Energy above the lowest structure with this stoichiometry**: 0.213 eV per atom
**Symmetry**: Fmm2, No. 42

9.
Entry from the Alexandria database: a relaxed structure of Al2HgOsRh (PBE).

abc: 4.614 4.614 5.169
angles: 90.00 90.00 90.00
Atoms (fractional coordinates):
Hg 0.000 0.000 0.500
Al 0.000 0.500 0.000
Al 0.500 0.000 0.000
Os 0.000 0.000 0.000
Rh 0.500 0.500 0.500

Computed properties:
**E_form**: 0.756 eV per atom
**Symmetry**: P4/mmm, No. 123

10.
Entry from the Alexandria database: a relaxed structure of AlHgOsS2 (PBE).

abc: 4.995 4.998 4.995
angles: 90.00 90.00 90.00
Atoms (fractional coordinates):
Os 0.500 0.500 0.500
S 0.000 0.000 0.500
S 0.500 0.000 0.000
Hg 0.000 0.000 0.000
Al 0.000 0.500 0.000

Computed properties:
**Total energy**: -2.90 eV per atom
**Symmetry**: P4/mmm, No. 123

11.
Entry from the Alexandria database: a relaxed structure of AlTcHgOs2 (PBE).

abc: 4.937 4.504 4.937
angles: 90.00 90.00 90.00
Atoms (fractional coordinates):
Os 0.500 0.000 0.000
Os 0.000 0.000 0.500
Al 0.000 0.500 0.000
Tc 0.500 0.500 0.500
Hg 0.000 0.000 0.000

Computed properties:
**E_form**: 2.659 eV per atom
**Symmetry**: P4/mmm, No. 123

12.
Entry from the Alexandria database: a relaxed structure of AlHgP2 (PBE).

abc: 10.436 10.436 10.436
angles: 16.59 16.59 16.59
Atoms (fractional coordinates):
P 0.976 0.976 0.976
P 0.524 0.524 0.524
Hg 0.750 0.750 0.750
Al 0.250 0.250 0.250

Computed properties:
**E_form**: 0.223 eV per atom
**Energy above the lowest structure with this stoichiometry**: 0.254 eV per atom
**Symmetry**: R-3m, No. 166

Number 1: V 90 Å³ per cell. Number 2: V 111 Å³ per cell. Number 3: V 54 Å³ per cell. Number 4: V 51 Å³ per cell. Number 5: V 51 Å³ per cell. Number 6: V 117 Å³ per cell. Number 7: V 100 Å³ per cell. Number 8: V 52 Å³ per cell. Number 9: V 110 Å³ per cell. Number 10: V 125 Å³ per cell. Number 11: V 110 Å³ per cell. Number 12: V 81 Å³ per cell.